Entry 1:
This record from Alexandria describes a crystal of ScSeS2 relaxed with PBEsol. The functional is SCAN.

abc: 8.552 8.552 8.552
angles: 148.30 148.30 45.44
Positions (direct):
Sc1 0.000 0.000 0.000
Sc2 0.750 0.250 0.500
Se1 0.250 0.750 0.500
Se2 0.500 0.500 0.000
S1 0.104 0.625 0.979
S2 0.375 0.354 0.479
S3 0.646 0.125 0.021
S4 0.875 0.896 0.521

## Properties
SG: I-42d, No. 122
Crystal system: tetragonal
Raw formation energy, eV per atom: -0.55
Electronic total energy, eV/atom: -13.947

Entry 2:
This record from Alexandria describes a crystal of Sr2CaGe2 relaxed with PBEsol. The functional is SCAN.

abc: 7.946 7.946 4.648
angles: 90.00 90.00 90.00
Positions (direct):
Sr1 0.174 0.326 0.000
Sr2 0.326 0.826 0.000
Sr3 0.674 0.174 0.000
Sr4 0.826 0.674 0.000
Ca1 0.000 0.000 0.500
Ca2 0.500 0.500 0.500
Ge1 0.115 0.615 0.500
Ge2 0.385 0.115 0.500
Ge3 0.615 0.885 0.500
Ge4 0.885 0.385 0.500

## Properties
SG: P4/mbm, No. 127
Crystal system: tetragonal
ΔH_f (0 K), kJ/mol of formula units: -283
Electronic total energy, eV/atom: -19.065

Entry 3:
This record from Alexandria describes a crystal of Cs3RbBr relaxed with PBEsol. The functional is SCAN.

abc: 7.246 7.246 7.246
angles: 90.00 90.00 90.00
Positions (direct):
Cs1 0.000 0.000 0.500
Cs2 0.000 0.500 0.000
Cs3 0.500 0.000 0.000
Rb1 0.500 0.500 0.500
Br1 0.000 0.000 0.000

## Properties
SG: Pm-3m, No. 221
Crystal system: cubic
Raw formation energy, eV per atom: -0.76
Electronic total energy, eV/atom: -31.491

Entry 4:
This record from Alexandria describes a crystal of Al3InRu relaxed with PBEsol. The functional is SCAN.

abc: 4.923 4.923 4.923
angles: 90.00 90.00 90.00
Positions (direct):
Al1 0.000 0.000 0.500
Al2 0.000 0.500 0.000
Al3 0.500 0.000 0.000
In1 0.000 0.000 0.000
Ru1 0.500 0.500 0.500

## Properties
SG: Pm-3m, No. 221
Crystal system: cubic
ΔH_f (0 K), kJ/mol of formula units: 742
Electronic total energy, eV/atom: -16.756

Entry 5:
This record from Alexandria describes a crystal of SrCr2Ag relaxed with PBEsol. The functional is SCAN.

abc: 5.362 5.362 5.362
angles: 130.69 130.69 72.31
Positions (direct):
Sr1 0.000 0.000 0.000
Cr1 0.250 0.750 0.500
Cr2 0.750 0.250 0.500
Ag1 0.500 0.500 0.000

## Properties
SG: I4/mmm, No. 139
Crystal system: tetragonal
ΔH_f (0 K), kJ/mol of formula units: 184
Electronic total energy, eV/atom: -22.127

Entry 6:
This record from Alexandria describes a crystal of TeMoSe4 relaxed with PBEsol. The functional is SCAN.

abc: 5.591 5.591 5.591
angles: 60.00 60.00 60.00
Positions (direct):
Te1 0.000 0.000 0.000
Mo1 0.250 0.250 0.250
Se1 0.132 0.623 0.623
Se2 0.623 0.132 0.623
Se3 0.623 0.623 0.132
Se4 0.623 0.623 0.623

## Properties
SG: F-43m, No. 216
Crystal system: cubic
Raw formation energy, eV per atom: 1.04
Electronic total energy, eV/atom: -24.364